Here is a relaxed structure of SnSbTe2Pt from Alexandria. Energies are from GGA-PBE.

Space group: P4/mmm, No. 123
Formation energy without anion corrections, eV per atom: 0.227
DFT total energy, eV/f.u.: -19.3
Energy above the most stable polymorph in this dataset, meV/atom: 0.0
Spin magnetization, μB per cell: 0.00
DOS(E_F), states/eV/cell: 4.5

abc: 5.5089 5.5089 5.0638
angles: 90.00 90.00 90.00
With the nearest neighbours (Å) after each atom.
Fractional coordinates of all 5 atoms:
Sn  0.0000  0.0000  0.0000  8 Te 3.74, 4 Sb 3.90
Sb  0.5000  0.5000  0.0000  2 Pt 2.53
Te  0.0000  0.5000  0.5000  2 Pt 2.75
Te  0.5000  0.0000  0.5000  2 Pt 2.75
Pt  0.5000  0.5000  0.5000  2 Sb 2.53, 4 Te 2.75



Here is a relaxed structure of NaCo from Alexandria. Energies are from GGA-PBE.

Space group: P4/mmm, No. 123
Formation enthalpy at 0 K, eV per atom: 0.622
DFT total energy, eV/f.u.: -7.2
Spin magnetization, μB per cell: 13.04
DOS(E_F), states/eV/cell: 15.6

abc: 10.3994 10.3994 2.6305
angles: 90.00 90.00 90.00
With the nearest neighbours (Å) after each atom.
Fractional coordinates of all 16 atoms:
Na  0.0000  0.2605  0.0000  2 Na 2.63
Na  0.0000  0.7395  0.0000  2 Na 2.63
Na  0.2605  0.0000  0.0000  2 Na 2.63
Na  0.2707  0.2707  0.5000  2 Na 2.63, 6 Co 2.82-2.88
Na  0.2707  0.7293  0.5000  2 Na 2.63, 6 Co 2.82-2.88
Na  0.7293  0.2707  0.5000  2 Na 2.63, 6 Co 2.82-2.88
Na  0.7293  0.7293  0.5000  2 Na 2.63, 6 Co 2.82-2.88
Na  0.7395  0.0000  0.0000  2 Na 2.63
Co  0.1157  0.5000  0.5000  3 Co 2.41-2.63
Co  0.3425  0.5000  0.0000  2 Co 2.32
Co  0.5000  0.1157  0.5000  3 Co 2.41-2.63
Co  0.5000  0.3425  0.0000  2 Co 2.32
Co  0.5000  0.6575  0.0000  2 Co 2.32
Co  0.5000  0.8843  0.5000  3 Co 2.41-2.63
Co  0.6575  0.5000  0.0000  2 Co 2.32
Co  0.8843  0.5000  0.5000  3 Co 2.41-2.63